[1]
First-principles (PBE-GGA) data for a relaxed TlPtRhO6 crystal, as listed in Alexandria via LeMat-Bulk.

Summary:
Fermi-level density of states ... 5.1 states/eV/f.u.
Volume ... 12.92 Å³/atom
Energy ... -5.60 eV per atom
E_form (uncorrected) ... -0.54 eV per atom

Cell and atoms, written as CIF:
```
data_TlPtRhO6
_chemical_formula_sum 'Tl2 Pt2 Rh2 O12'
_symmetry_space_group_name_H-M 'P -3 1 c'
_symmetry_Int_Tables_number 163
_symmetry_space_group_name_Hall '-P 3 2c'
_cell_length_a 5.3045
_cell_length_b 5.3045
_cell_length_c 9.5444
_cell_angle_alpha 90.00
_cell_angle_beta 90.00
_cell_angle_gamma 120.00
loop_
_atom_site_label
_atom_site_fract_x
_atom_site_fract_y
_atom_site_fract_z
Tl1 0.0000 0.0000 0.0000
Pt1 0.3333 0.6667 0.2500
Rh1 0.3333 0.6667 0.7500
O1 0.0024 0.3705 0.6367
```

[2]
First-principles (PBE-GGA) data for a relaxed Hf2TlB crystal, as listed in Alexandria via LeMat-Bulk.

Summary:
Fermi-level density of states ... 2.4 states/eV/f.u.
Volume ... 19.58 Å³/atom
Energy of formation ... 0.87 eV per formula unit
Energy ... -7.02 eV per atom

Cell and atoms, written as CIF:
```
data_Hf2TlB
_chemical_formula_sum 'Hf8 Tl4 B4'
_symmetry_space_group_name_H-M 'I -4 2 d'
_symmetry_Int_Tables_number 122
_symmetry_space_group_name_Hall 'I -4 2bw'
_cell_length_a 7.075
_cell_length_b 7.075
_cell_length_c 6.260
_cell_angle_alpha 90.00
_cell_angle_beta 90.00
_cell_angle_gamma 90.00
loop_
_atom_site_label
_atom_site_fract_x
_atom_site_fract_y
_atom_site_fract_z
Hf1 0.184 0.250 0.125
Tl1 0.000 0.000 0.500
B1 0.000 0.000 0.000
```

[3]
First-principles (PBE-GGA) data for a relaxed Li2Cd2Hg crystal, as listed in Alexandria via LeMat-Bulk.

Summary:
Fermi-level density of states ... 1.7 states/eV/f.u.
Volume ... 19.59 Å³/atom
Energy of formation ... -0.84 eV per formula unit
Energy ... -1.36 eV per atom

Cell and atoms, written as CIF:
```
data_Li2Cd2Hg
_chemical_formula_sum 'Li4 Cd4 Hg2'
_symmetry_space_group_name_H-M 'P 4/m b m'
_symmetry_Int_Tables_number 127
_symmetry_space_group_name_Hall '-P 4 2ab'
_cell_length_a 7.551
_cell_length_b 7.551
_cell_length_c 3.436
_cell_angle_alpha 90.00
_cell_angle_beta 90.00
_cell_angle_gamma 90.00
loop_
_atom_site_label
_atom_site_fract_x
_atom_site_fract_y
_atom_site_fract_z
Li1 0.147 0.353 0.000
Cd1 0.149 0.649 0.500
Hg1 0.000 0.000 0.000
```

[4]
First-principles (PBE-GGA) data for a relaxed YZn2Rh crystal, as listed in Alexandria via LeMat-Bulk.

Summary:
Fermi-level density of states ... 1.9 states/eV/f.u.
Volume ... 18.40 Å³/atom
Energy of formation ... -1.47 eV per formula unit
Energy ... -4.46 eV per atom

Cell and atoms, written as CIF:
```
data_YZn2Rh
_chemical_formula_sum 'Y1 Zn2 Rh1'
_symmetry_space_group_name_H-M 'P 1 2/m 1'
_symmetry_Int_Tables_number 10
_symmetry_space_group_name_Hall '-P 2y'
_cell_length_a 3.181
_cell_length_b 4.611
_cell_length_c 5.145
_cell_angle_alpha 90.00
_cell_angle_beta 102.87
_cell_angle_gamma 90.00
loop_
_atom_site_label
_atom_site_fract_x
_atom_site_fract_y
_atom_site_fract_z
Y1 0.000 0.000 0.000
Zn1 0.371 0.500 0.718
Rh1 0.500 0.000 0.500
```